{"formula": "YB3N", "functional": "PBE", "state": "optimized geometry", "raw_formation_energy_ev_per_atom": 1.4438, "crystal_system": "cubic", "total_magnetization_mub_per_fu": 0.0, "lattice": [[-0.1548, 3.3422, 1.7764], [1.6616, -1.5374, 3.0374], [3.4008, 0.9033, -1.4031]], "species": ["Y", "B", "B", "B", "N"], "fractional_positions": [[0.5000, 0.5000, 0.5000], [0.0000, 0.0000, 0.5000], [0.0000, 0.5000, 0.0000], [0.5000, 0.0000, 0.0000], [0.0000, 0.0000, 0.0000]]}